1.
## NpV2Zn (PBE-GGA)

Data for a geometry-optimized NpV2Zn structure.

abc: 3.0551 3.0551 23.6368
angles: 90.00 90.00 120.00
Space group R-3m (No. 166, hexagonal axes)
Symmetry-distinct sites (fractional):
Np1 0.0000 0.0000 0.0000 [3 per cell]
V1 0.0000 0.0000 0.2535 [6 per cell]
Zn1 0.0000 0.0000 0.5000 [3 per cell]

Computed properties:
Electronic total energy: -91.72 eV for the cell shown
Formation energy: 0.47 eV per atom
ρ: 10.54 Mg/m³
Energy above the most stable polymorph in this dataset: 93.0 kJ/mol of formula units

***

2.
## TbZn2Ge (PBE-GGA)

Data for a geometry-optimized TbZn2Ge structure.

abc: 3.345 4.614 5.207
angles: 90.00 90.00 90.00
Space group Pmmm (No. 47)
Symmetry-distinct sites (fractional):
Tb1 0.000 0.000 0.000 [1 per cell]
Zn1 0.500 0.500 0.244 [2 per cell]
Ge1 0.500 0.000 0.500 [1 per cell]

Computed properties:
Electronic total energy: -12.91 eV for the cell shown
Formation energy: -0.28 eV per atom
ρ: 7.49 Mg/m³
Energy above the most stable polymorph in this dataset: 53.0 kJ/mol of formula units

***

3.
## ScSiBi (PBE-GGA)

Data for a geometry-optimized ScSiBi structure.

abc: 3.5859 3.5859 39.5334
angles: 90.00 90.00 120.00
Space group R-3m (No. 166, hexagonal axes)
Symmetry-distinct sites (fractional):
Sc1 0.0000 0.0000 0.1065 [6 per cell]
Si1 0.0000 0.0000 0.1807 [6 per cell]
Bi1 0.0000 0.0000 0.3784 [6 per cell]

Computed properties:
Electronic total energy: -100.70 eV for the cell shown
ρ: 6.38 Mg/m³

***

4.
## KNiW2 (PBE-GGA)

Data for a geometry-optimized KNiW2 structure.

abc: 2.7933 2.7933 31.7490
angles: 90.00 90.00 120.00
Space group R-3m (No. 166, hexagonal axes)
Symmetry-distinct sites (fractional):
K1 0.0000 0.0000 0.0000 [3 per cell]
Ni1 0.0000 0.0000 0.5000 [3 per cell]
W1 0.0000 0.0000 0.2330 [6 per cell]

Computed properties:
Electronic total energy: -87.15 eV for the cell shown
Formation energy: 0.93 eV per atom
ρ: 10.81 Mg/m³
Energy above the most stable polymorph in this dataset: 84.0 kJ/mol of formula units

***

5.
## KBiCl5 (PBE-GGA)

Data for a geometry-optimized KBiCl5 structure.

abc: 12.897 8.678 10.689
angles: 90.00 119.69 90.00
Space group C2/c (No. 15)
Symmetry-distinct sites (fractional):
K1 0.000 0.050 0.250 [4 per cell]
Bi1 0.000 0.500 0.000 [4 per cell]
Cl1 0.000 0.436 0.250 [4 per cell]
Cl2 0.048 0.205 0.558 [8 per cell]
Cl3 0.225 0.434 0.135 [8 per cell]

Computed properties:
Electronic total energy: -85.73 eV for the cell shown
ρ: 2.72 Mg/m³